(1)
{
  "formula": "AlVW",
  "functional": "PBE",
  "state": "optimized geometry",
  "ef_kj_per_mol_atoms": -11,
  "m_tot_mub_per_cell": 0.00,
  "de_polymorph_ev_per_atom": 0.024,
  "lattice_angstrom": [[3.216, 0.000, -0.246], [0.000, 4.369, 0.000], [-1.122, 0.000, 6.496]],
  "species": ["W", "W", "V", "V", "Al", "Al"],
  "fractional_positions": [[0.237, 0.250, 0.474], [0.763, 0.750, 0.526], [0.577, 0.250, 0.154], [0.423, 0.750, 0.846], [0.910, 0.250, 0.820], [0.090, 0.750, 0.180]]
}


(2)
{
  "formula": "Al4VW2",
  "functional": "PBE",
  "state": "optimized geometry",
  "ef_kj_per_mol_atoms": 93,
  "m_tot_mub_per_cell": 0.64,
  "lattice_angstrom": [[4.696, 0.000, 0.000], [0.000, 4.696, 0.000], [2.348, 2.348, 6.382]],
  "species": ["Al", "Al", "Al", "Al", "W", "W", "V"],
  "fractional_positions": [[0.807, 0.807, 0.386], [0.193, 0.193, 0.614], [0.000, 0.500, 0.000], [0.500, 0.000, 0.000], [0.595, 0.595, 0.811], [0.405, 0.405, 0.189], [0.000, 0.000, 0.000]]
}


(3)
{
  "formula": "Al2V7W3",
  "functional": "PBE",
  "state": "optimized geometry",
  "ef_kj_per_mol_atoms": 26,
  "m_tot_mub_per_cell": 0.00,
  "lattice_angstrom": [[4.099, 0.000, 0.000], [0.000, 4.235, -0.841], [0.000, -0.067, 10.746]],
  "species": ["Al", "Al", "V", "V", "V", "V", "V", "V", "V", "W", "W", "W"],
  "fractional_positions": [[0.000, 0.851, 0.703], [0.000, 0.149, 0.297], [0.000, 0.423, 0.846], [0.000, 0.729, 0.458], [0.000, 0.000, 0.000], [0.000, 0.577, 0.154], [0.500, 0.070, 0.140], [0.500, 0.930, 0.860], [0.000, 0.271, 0.542], [0.500, 0.500, 0.000], [0.500, 0.651, 0.302], [0.500, 0.349, 0.698]]
}